No. 1
ScHgSb2: optimized geometry, GGA-PBE.

## Properties
Spin magnetization: 0.00 μB/cell
Volume: 24.495 Å³/atom

Cell: 5.705 5.705 4.813 Å, 65.05 65.05 44.65°
Fractional positions:
Hg: 0.250 0.250 0.250
Sc: 0.750 0.750 0.750
Sb: 0.495 0.495 0.505
Sb: 0.005 0.005 0.995


No. 2
Sc2HgSb: optimized geometry, GGA-PBE.

## Properties
Spin magnetization: 0.97 μB/cell
Volume: 22.699 Å³/atom

Cell: 3.727 3.749 7.504 Å, 60.00 90.00 90.00°
Fractional positions:
Sc: 0.000 0.008 0.991
Sc: 0.000 0.492 0.509
Sb: 0.500 0.750 0.750
Hg: 0.500 0.250 0.250


No. 3
ScHgSb2: optimized geometry, GGA-PBE.

## Properties
Spin magnetization: 0.00 μB/cell
Volume: 26.493 Å³/atom

Cell: 8.177 8.177 6.594 Å, 51.68 51.68 90.00°
Fractional positions:
Sc: 0.500 0.500 0.000
Sc: 0.250 0.750 0.500
Sb: 0.129 0.625 0.250
Sb: 0.375 0.379 0.750
Sb: 0.875 0.871 0.750
Sb: 0.621 0.125 0.250
Hg: 0.750 0.250 0.500
Hg: 0.000 0.000 0.000


No. 4
ScHg2Sb2: optimized geometry, GGA-PBE.

## Properties
Spin magnetization: 0.00 μB/cell
Volume: 28.839 Å³/atom

Cell: 4.007 4.007 9.419 Å, 77.72 77.72 90.00°
Fractional positions:
Sb: 0.580 0.580 0.841
Sb: 0.420 0.420 0.159
Hg: 0.750 0.250 0.500
Hg: 0.250 0.750 0.500
Sc: 0.000 0.000 0.000


No. 5
Sc2HgSb: optimized geometry, GGA-PBE.

## Properties
Spin magnetization: 0.00 μB/cell
Volume: 22.745 Å³/atom

Cell: 5.967 5.967 5.967 Å, 138.80 138.95 59.56°
Fractional positions:
Hg: 0.500 0.500 0.000
Sc: 0.000 0.000 0.000
Sc: 0.750 0.250 0.500
Sb: 0.250 0.750 0.500


No. 6
ScHg2Sb: optimized geometry, GGA-PBE.

## Properties
Spin magnetization: 0.00 μB/cell
Volume: 23.547 Å³/atom

Cell: 4.269 4.269 5.168 Å, 90.00 90.00 90.00°
Fractional positions:
Sb: 0.500 0.000 0.500
Hg: 0.500 0.500 0.000
Hg: 0.000 0.000 0.000
Sc: 0.000 0.500 0.500


No. 7
ScHg2Sb: optimized geometry, GGA-PBE.

## Properties
Spin magnetization: 0.00 μB/cell
Volume: 25.312 Å³/atom

Cell: 8.309 8.309 6.567 Å, 50.75 50.75 90.00°
Fractional positions:
Sc: 0.250 0.750 0.500
Sc: 0.500 0.500 0.000
Sb: 0.000 0.000 0.000
Sb: 0.750 0.250 0.500
Hg: 0.127 0.625 0.250
Hg: 0.375 0.377 0.750
Hg: 0.875 0.873 0.750
Hg: 0.623 0.125 0.250


No. 8
Sc2HgSb: optimized geometry, GGA-PBE.

## Properties
Spin magnetization: 0.00 μB/cell
Volume: 25.180 Å³/atom

Cell: 3.992 3.992 7.643 Å, 74.73 74.73 60.23°
Fractional positions:
Hg: 0.750 0.750 0.750
Sc: 0.996 0.996 0.013
Sc: 0.504 0.504 0.487
Sb: 0.250 0.250 0.250


No. 9
ScHg2Sb: optimized geometry, GGA-PBE.

## Properties
Spin magnetization: 0.00 μB/cell
Volume: 23.720 Å³/atom

Cell: 3.934 4.014 6.008 Å, 90.00 90.00 90.00°
Fractional positions:
Hg: 0.000 0.000 0.994
Hg: 0.000 0.000 0.506
Sc: 0.500 0.500 0.750
Sb: 0.500 0.500 0.250


No. 10
ScHgSb3: optimized geometry, GGA-PBE.

## Properties
Spin magnetization: 0.00 μB/cell
Volume: 33.076 Å³/atom

Cell: 5.489 5.489 5.489 Å, 90.00 90.00 90.00°
Fractional positions:
Sb: 0.000 0.000 0.500
Sb: 0.000 0.500 0.000
Sb: 0.500 0.000 0.000
Hg: 0.500 0.500 0.500
Sc: 0.000 0.000 0.000


No. 11
ScHg2Sb: optimized geometry, GGA-PBE.

## Properties
Spin magnetization: 0.00 μB/cell
Volume: 24.285 Å³/atom

Cell: 6.609 6.609 4.252 Å, 62.48 62.48 36.78°
Fractional positions:
Sb: 0.750 0.750 0.750
Hg: 0.995 0.995 0.002
Hg: 0.505 0.505 0.498
Sc: 0.250 0.250 0.250


No. 12
Sc3HgSb: optimized geometry, GGA-PBE.

## Properties
Spin magnetization: 0.00 μB/cell
Volume: 28.693 Å³/atom

Cell: 5.235 5.235 5.235 Å, 90.00 90.00 90.00°
Fractional positions:
Sc: 0.500 0.000 0.000
Sc: 0.000 0.000 0.500
Sc: 0.000 0.500 0.000
Hg: 0.000 0.000 0.000
Sb: 0.500 0.500 0.500


No. 13
ScHg2Sb2: optimized geometry, GGA-PBE.

## Properties
Spin magnetization: 0.00 μB/cell
Volume: 27.846 Å³/atom

Cell: 4.166 4.166 8.545 Å, 75.89 75.89 90.00°
Fractional positions:
Sb: 0.750 0.250 0.500
Sb: 0.250 0.750 0.500
Sc: 0.000 0.000 0.000
Hg: 0.590 0.590 0.819
Hg: 0.410 0.410 0.181


No. 14
Sc2HgSb: optimized geometry, GGA-PBE.

## Properties
Spin magnetization: 0.00 μB/cell
Volume: 30.195 Å³/atom

Cell: 9.660 9.660 9.660 Å, 23.00 23.00 23.00°
Fractional positions:
Sc: 0.896 0.896 0.896
Sc: 0.104 0.104 0.104
Sb: 0.500 0.500 0.500
Hg: 0.000 0.000 0.000


No. 15
ScHg2Sb: optimized geometry, GGA-PBE.

## Properties
Spin magnetization: 0.00 μB/cell
Volume: 25.314 Å³/atom

Cell: 3.339 3.339 9.082 Å, 90.00 90.00 90.00°
Fractional positions:
Sb: 0.000 0.000 0.537
Hg: 0.000 0.000 0.971
Hg: 0.500 0.500 0.235
Sc: 0.500 0.500 0.757


No. 16
ScHgSb2: optimized geometry, GGA-PBE.

## Properties
Spin magnetization: 0.00 μB/cell
Volume: 25.155 Å³/atom

Cell: 4.491 4.009 5.844 Å, 73.00 90.00 90.00°
Fractional positions:
Sb: 0.000 0.007 0.889
Sb: 0.500 0.243 0.348
Sc: 0.000 0.708 0.443
Hg: 0.500 0.542 0.820


No. 17
Sc2HgSb: optimized geometry, GGA-PBE.

## Properties
Spin magnetization: 0.00 μB/cell
Volume: 24.028 Å³/atom

Cell: 4.032 4.032 5.912 Å, 90.00 90.00 90.00°
Fractional positions:
Sc: 0.000 0.000 0.960
Sc: 0.500 0.500 0.289
Hg: 0.000 0.000 0.453
Sb: 0.500 0.500 0.798


No. 18
ScHgSb4: optimized geometry, GGA-PBE.

## Properties
Spin magnetization: 0.57 μB/cell
Volume: 28.424 Å³/atom

Cell: 6.225 6.225 6.225 Å, 60.00 60.00 60.00°
Fractional positions:
Hg: 0.000 0.000 0.000
Sb: 0.375 0.375 0.375
Sb: 0.875 0.375 0.375
Sb: 0.375 0.875 0.375
Sb: 0.375 0.375 0.875
Sc: 0.750 0.750 0.750


No. 19
ScHgSb3: optimized geometry, GGA-PBE.

## Properties
Spin magnetization: 0.00 μB/cell
Volume: 33.024 Å³/atom

Cell: 5.486 5.486 5.486 Å, 90.00 90.00 90.00°
Fractional positions:
Sb: 0.500 0.000 0.000
Sb: 0.000 0.000 0.500
Sb: 0.000 0.500 0.000
Hg: 0.000 0.000 0.000
Sc: 0.500 0.500 0.500


No. 20
ScHg2Sb: optimized geometry, GGA-PBE.

## Properties
Spin magnetization: 0.00 μB/cell
Volume: 24.996 Å³/atom

Cell: 5.915 5.915 5.844 Å, 66.60 66.60 32.49°
Fractional positions:
Hg: 0.959 0.959 0.928
Hg: 0.721 0.721 0.820
Sc: 0.276 0.276 0.361
Sb: 0.544 0.544 0.391


No. 21
Sc2Hg2Sb: optimized geometry, GGA-PBE.

## Properties
Spin magnetization: 0.00 μB/cell
Volume: 24.591 Å³/atom

Cell: 7.530 7.530 4.337 Å, 90.00 90.00 90.00°
Fractional positions:
Sb: 0.500 0.500 0.000
Sb: 0.000 0.000 0.000
Hg: 0.855 0.355 0.500
Hg: 0.145 0.645 0.500
Hg: 0.645 0.855 0.500
Hg: 0.355 0.145 0.500
Sc: 0.657 0.157 0.000
Sc: 0.843 0.657 0.000
Sc: 0.157 0.343 0.000
Sc: 0.343 0.843 0.000


No. 22
ScHg2Sb2: optimized geometry, GGA-PBE.

## Properties
Spin magnetization: 0.00 μB/cell
Volume: 25.210 Å³/atom

Cell: 7.886 7.886 4.053 Å, 90.00 90.00 90.00°
Fractional positions:
Sb: 0.825 0.325 0.500
Sb: 0.175 0.675 0.500
Sb: 0.675 0.825 0.500
Sb: 0.325 0.175 0.500
Hg: 0.869 0.631 0.000
Hg: 0.131 0.369 0.000
Hg: 0.631 0.131 0.000
Hg: 0.369 0.869 0.000
Sc: 0.500 0.500 0.000
Sc: 0.000 0.000 0.000


No. 23
Sc2HgSb: optimized geometry, GGA-PBE.

## Properties
Spin magnetization: 0.00 μB/cell
Volume: 22.619 Å³/atom

Cell: 5.039 5.039 5.039 Å, 60.00 60.00 60.00°
Fractional positions:
Sc: 0.750 0.750 0.750
Sc: 0.250 0.250 0.250
Sb: 0.000 0.000 0.000
Hg: 0.500 0.500 0.500


No. 24
Sc2Hg2Sb: optimized geometry, GGA-PBE.

## Properties
Spin magnetization: 1.03 μB/cell
Volume: 25.084 Å³/atom

Cell: 4.016 4.016 8.278 Å, 75.96 75.96 90.00°
Fractional positions:
Sc: 0.593 0.593 0.813
Sc: 0.407 0.407 0.187
Sb: 0.000 0.000 0.000
Hg: 0.750 0.250 0.500
Hg: 0.250 0.750 0.500


No. 25
ScHgSb2: optimized geometry, GGA-PBE.

## Properties
Spin magnetization: 0.00 μB/cell
Volume: 27.701 Å³/atom

Cell: 4.489 4.489 6.858 Å, 70.90 70.90 60.00°
Fractional positions:
Sb: 0.075 0.075 0.776
Sb: 0.259 0.259 0.222
Sc: 0.666 0.666 0.003
Hg: 0.500 0.500 0.500


No. 26
ScHgSb2: optimized geometry, GGA-PBE.

## Properties
Spin magnetization: 0.00 μB/cell
Volume: 25.663 Å³/atom

Cell: 3.244 3.244 9.754 Å, 90.00 90.00 90.00°
Fractional positions:
Sb: 0.500 0.500 0.299
Sb: 0.000 0.000 0.967
Sc: 0.000 0.000 0.512
Hg: 0.500 0.500 0.722


No. 27
ScHg3Sb: optimized geometry, GGA-PBE.

## Properties
Spin magnetization: 0.00 μB/cell
Volume: 32.586 Å³/atom

Cell: 5.462 5.462 5.462 Å, 90.00 90.00 90.00°
Fractional positions:
Hg: 0.000 0.500 0.000
Hg: 0.500 0.000 0.000
Hg: 0.000 0.000 0.500
Sc: 0.000 0.000 0.000
Sb: 0.500 0.500 0.500


No. 28
ScHgSb2: optimized geometry, GGA-PBE.

## Properties
Spin magnetization: 0.00 μB/cell
Volume: 24.206 Å³/atom

Cell: 8.070 4.910 4.017 Å, 89.94 60.23 128.22°
Fractional positions:
Sb: 0.000 0.000 0.000
Sb: 0.500 0.000 0.500
Sc: 0.000 0.500 0.500
Hg: 0.500 0.500 0.000


No. 29
ScHg2Sb: optimized geometry, GGA-PBE.

## Properties
Spin magnetization: 0.00 μB/cell
Volume: 24.736 Å³/atom

Cell: 9.630 9.630 9.630 Å, 20.84 20.84 20.84°
Fractional positions:
Sb: 0.750 0.750 0.750
Hg: 0.506 0.506 0.506
Hg: 0.994 0.994 0.994
Sc: 0.250 0.250 0.250


| no. | total DFT energy (no corrections) (eV/cell) |
| --- | --- |
| 1 | -16.0 |
| 2 | -19.3 |
| 3 | -31.0 |
| 4 | -16.1 |
| 5 | -19.3 |
| 6 | -12.3 |
| 7 | -23.7 |
| 8 | -19.2 |
| 9 | -11.7 |
| 10 | -18.3 |
| 11 | -12.2 |
| 12 | -23.3 |
| 13 | -14.3 |
| 14 | -17.6 |
| 15 | -11.9 |
| 16 | -16.2 |
| 17 | -19.0 |
| 18 | -22.3 |
| 19 | -15.6 |
| 20 | -12.1 |
| 21 | -38.4 |
| 22 | -30.5 |
| 23 | -19.0 |
| 24 | -18.6 |
| 25 | -15.8 |
| 26 | -15.6 |
| 27 | -9.0 |
| 28 | -16.0 |
| 29 | -11.4 |